No. 1
! Cr3Os (GGA-PBE, relaxed); values from VASP
&SYSTEM
  ibrav = 0, nat = 4, ntyp = 2
/
ATOMIC_SPECIES
Cr 52.00 Cr.upf
Os 190.23 Os.upf
ATOMIC_POSITIONS angstrom
Cr -2.027 -6.569 3.933
Cr -2.630 -3.167 5.058
Cr -1.998 -2.753 2.765
Os -1.332 -2.122 0.295
CELL_PARAMETERS angstrom
-0.683 -1.600 -2.086
-1.361 -5.078 6.108
-1.917 1.389 1.331
! - spin magnetization (Bohr magnetons per cell) = 0.00
! - density of states at the Fermi level (states/eV per cell) = 4.86
! - ΔH_f (0 K) (eV/atom) = 0.27
! - V (A^3/atom) = 12.624

No. 2
! AgAs2 (GGA-PBE, relaxed); values from VASP
&SYSTEM
  ibrav = 0, nat = 6, ntyp = 2
/
ATOMIC_SPECIES
Ag 107.87 Ag.upf
As 74.92 As.upf
ATOMIC_POSITIONS angstrom
Ag 0.000 6.593 2.711
Ag 0.000 9.237 4.063
As 0.000 1.475 0.721
As 0.000 12.079 4.918
As 0.000 3.751 1.856
As 0.000 14.355 6.053
CELL_PARAMETERS angstrom
1.426 6.369 0.001
-1.426 6.369 0.001
0.000 3.093 6.772
! - spin magnetization (Bohr magnetons per cell) = 0.00
! - density of states at the Fermi level (states/eV per cell) = 1.89
! - ΔH_f (0 K) (eV/atom) = 0.18
! - V (A^3/atom) = 20.499

No. 3
! MnCo5Tc (GGA-PBE, relaxed); values from VASP
&SYSTEM
  ibrav = 0, nat = 14, ntyp = 3
/
ATOMIC_SPECIES
Mn 54.94 Mn.upf
Co 58.93 Co.upf
Tc 98.00 Tc.upf
ATOMIC_POSITIONS angstrom
Mn 2.378 -2.606 2.076
Mn 5.215 2.050 1.896
Co 4.350 -2.053 0.796
Co 5.030 -0.371 2.362
Co 7.339 0.903 1.978
Co 1.114 -0.091 3.631
Co 6.650 2.101 -0.241
Co 0.943 -2.657 4.213
Co 6.478 -0.465 0.340
Co 0.254 -1.459 1.994
Co 2.562 -0.185 1.610
Co 3.242 1.498 3.176
Tc 0.000 0.000 0.000
Tc 4.271 0.221 -0.199
CELL_PARAMETERS angstrom
-0.951 -0.999 4.369
1.427 -4.353 -0.085
7.116 4.795 -0.312
! - spin magnetization (Bohr magnetons per cell) = 15.45
! - density of states at the Fermi level (states/eV per cell) = 25.01
! - ΔH_f (0 K) (eV/atom) = 0.22
! - V (A^3/atom) = 11.693

No. 4
! ThAlZn2Pd (GGA-PBE, relaxed); values from VASP
&SYSTEM
  ibrav = 0, nat = 5, ntyp = 4
/
ATOMIC_SPECIES
Th 232.04 Th.upf
Al 26.98 Al.upf
Zn 65.41 Zn.upf
Pd 106.42 Pd.upf
ATOMIC_POSITIONS angstrom
Th 0.000 0.000 5.079
Al 0.000 2.126 2.180
Zn 1.972 0.000 2.249
Zn 0.000 0.000 0.623
Pd 1.972 2.126 3.820
CELL_PARAMETERS angstrom
3.944 0.000 0.000
0.000 4.252 0.000
-1.972 -2.126 5.755
! - spin magnetization (Bohr magnetons per cell) = 0.00
! - density of states at the Fermi level (states/eV per cell) = 2.77
! - ΔH_f (0 K) (eV/atom) = -0.51
! - V (A^3/atom) = 19.304

No. 5
! ZnSi2Ag (GGA-PBE, relaxed); values from VASP
&SYSTEM
  ibrav = 0, nat = 4, ntyp = 3
/
ATOMIC_SPECIES
Ag 107.87 Ag.upf
Si 28.09 Si.upf
Zn 65.41 Zn.upf
ATOMIC_POSITIONS angstrom
Ag -3.120 19.515 9.173
Si -4.158 26.009 12.226
Si -2.082 13.021 6.121
Zn -1.040 6.505 3.058
CELL_PARAMETERS angstrom
-0.407 9.336 2.999
-2.954 8.565 3.774
-0.799 8.118 5.458
! - spin magnetization (Bohr magnetons per cell) = 0.00
! - E_form (uncorrected) (meV per atom) = 299
! - density of states at the Fermi level (states/eV per cell) = 0.14
! - V (A^3/atom) = 16.111

No. 6
! RbAgAu2F8 (GGA-PBE, relaxed); values from VASP
&SYSTEM
  ibrav = 0, nat = 12, ntyp = 4
/
ATOMIC_SPECIES
Rb 85.47 Rb.upf
Ag 107.87 Ag.upf
Au 196.97 Au.upf
F 19.00 F.upf
ATOMIC_POSITIONS angstrom
Rb 0.000 0.000 0.000
Ag 5.653 3.264 4.680
Au 8.480 4.896 7.343
Au 2.827 1.632 2.017
F 5.653 3.264 0.022
F 5.653 3.264 9.337
F 4.241 2.449 3.406
F 7.065 4.079 5.954
F 4.241 4.079 5.954
F 5.653 4.895 3.406
F 7.065 2.448 3.406
F 5.653 1.633 5.954
CELL_PARAMETERS angstrom
5.653 0.000 0.000
2.827 4.896 0.000
2.827 1.632 9.360
! - spin magnetization (Bohr magnetons per cell) = 0.00
! - E_form (uncorrected) (meV per atom) = -1067
! - density of states at the Fermi level (states/eV per cell) = 6.57
! - V (A^3/atom) = 21.588

No. 7
! Sb2PbAu (GGA-PBE, relaxed); values from VASP
&SYSTEM
  ibrav = 0, nat = 4, ntyp = 3
/
ATOMIC_SPECIES
Au 196.97 Au.upf
Pb 207.20 Pb.upf
Sb 121.76 Sb.upf
ATOMIC_POSITIONS angstrom
Au -2.357 1.820 -1.579
Pb -2.251 -1.528 1.989
Sb 0.000 0.000 0.000
Sb -2.572 -1.537 -1.366
CELL_PARAMETERS angstrom
-2.677 1.810 -4.934
-2.466 -4.884 2.202
-2.037 1.829 1.776
! - spin magnetization (Bohr magnetons per cell) = 0.00
! - E_form (uncorrected) (meV per atom) = 195
! - density of states at the Fermi level (states/eV per cell) = 1.46
! - V (A^3/atom) = 26.291

No. 8
! PaCuSb2 (GGA-PBE, relaxed); values from VASP
&SYSTEM
  ibrav = 0, nat = 4, ntyp = 3
/
ATOMIC_SPECIES
Sb 121.76 Sb.upf
Pa 231.04 Pa.upf
Cu 63.55 Cu.upf
ATOMIC_POSITIONS angstrom
Sb -2.574 -3.268 6.786
Sb -5.902 -0.285 2.099
Pa -4.238 -1.777 4.442
Cu 0.000 0.000 0.000
CELL_PARAMETERS angstrom
-2.634 1.886 0.721
-3.047 -1.017 -0.834
-2.795 -4.422 8.998
! - spin magnetization (Bohr magnetons per cell) = 0.00
! - E_form (uncorrected) (meV per atom) = 50
! - density of states at the Fermi level (states/eV per cell) = 3.24
! - V (A^3/atom) = 24.394

No. 9
! Zn4Pd2Au (GGA-PBE, relaxed); values from VASP
&SYSTEM
  ibrav = 0, nat = 7, ntyp = 3
/
ATOMIC_SPECIES
Zn 65.41 Zn.upf
Pd 106.42 Pd.upf
Au 196.97 Au.upf
ATOMIC_POSITIONS angstrom
Zn 2.513 0.049 -0.854
Zn 1.303 2.150 0.854
Zn 0.028 -0.049 2.654
Zn -1.239 2.150 -0.945
Pd 1.275 2.199 -1.800
Pd 2.542 0.000 1.800
Au 0.000 0.000 0.000
CELL_PARAMETERS angstrom
5.027 0.098 -1.709
-2.477 4.299 -1.891
0.056 -0.098 5.309
! - spin magnetization (Bohr magnetons per cell) = 0.00
! - density of states at the Fermi level (states/eV per cell) = 2.04
! - ΔH_f (0 K) (eV/atom) = -0.35
! - V (A^3/atom) = 16.440
! - relative energy among the computed polymorphs (eV/atom) = 0.000

No. 10
! In2Hg2Sb (GGA-PBE, relaxed); values from VASP
&SYSTEM
  ibrav = 0, nat = 10, ntyp = 3
/
ATOMIC_SPECIES
Sb 121.76 Sb.upf
Hg 200.59 Hg.upf
In 114.82 In.upf
ATOMIC_POSITIONS angstrom
Sb 0.000 0.000 0.000
Sb 3.894 3.894 0.000
Hg 2.841 6.735 0.000
Hg 6.735 4.947 0.000
Hg 4.947 1.053 0.000
Hg 1.053 2.841 0.000
In 1.335 5.229 2.316
In 5.229 6.453 2.316
In 6.453 2.559 2.316
In 2.559 1.335 2.316
CELL_PARAMETERS angstrom
7.788 0.000 0.000
0.000 7.788 0.000
0.000 0.000 4.632
! - spin magnetization (Bohr magnetons per cell) = 0.00
! - E_form (uncorrected) (meV per atom) = 84
! - density of states at the Fermi level (states/eV per cell) = 3.69
! - V (A^3/atom) = 28.093
! - relative energy among the computed polymorphs (eV/atom) = 0.000

No. 11
! NaCa2H6Ir (GGA-PBE, relaxed); values from VASP
&SYSTEM
  ibrav = 0, nat = 10, ntyp = 4
/
ATOMIC_SPECIES
Na 22.99 Na.upf
Ca 40.08 Ca.upf
H 1.01 H.upf
Ir 192.22 Ir.upf
ATOMIC_POSITIONS angstrom
Na -2.425 -1.848 1.575
Ca -1.277 1.429 2.405
Ca -2.488 -2.948 4.972
H -4.345 -2.139 3.590
H -5.520 -0.036 4.249
H -3.790 -1.024 5.755
H 1.754 -1.482 3.128
H 0.024 -0.495 1.623
H 0.579 0.620 3.787
Ir 0.000 0.000 0.000
CELL_PARAMETERS angstrom
-4.850 -3.697 3.149
3.380 -1.929 2.941
-2.295 4.108 1.287
! - spin magnetization (Bohr magnetons per cell) = 0.00
! - density of states at the Fermi level (states/eV per cell) = 1.16
! - raw total energy (eV/atom) = -3.8841
! - V (A^3/atom) = 14.145

No. 12
! TcRh (GGA-PBE, relaxed); values from VASP
&SYSTEM
  ibrav = 0, nat = 2, ntyp = 2
/
ATOMIC_SPECIES
Tc 98.00 Tc.upf
Rh 102.91 Rh.upf
ATOMIC_POSITIONS angstrom
Tc 2.672 4.280 2.556
Rh 2.679 4.278 0.191
CELL_PARAMETERS angstrom
2.639 0.000 0.003
0.001 4.246 0.002
1.311 2.124 3.097
! - spin magnetization (Bohr magnetons per cell) = 0.00
! - density of states at the Fermi level (states/eV per cell) = 1.93
! - ΔH_f (0 K) (eV/atom) = 0.55
! - V (A^3/atom) = 17.335
! - relative energy among the computed polymorphs (eV/atom) = 0.725

No. 13
! BaBrN2 (GGA-PBE, relaxed); values from VASP
&SYSTEM
  ibrav = 0, nat = 8, ntyp = 3
/
ATOMIC_SPECIES
Ba 137.33 Ba.upf
Br 79.90 Br.upf
N 14.01 N.upf
ATOMIC_POSITIONS angstrom
Ba 0.000 0.000 0.000
Ba 5.348 2.674 3.008
Br 2.674 2.674 0.000
Br 2.674 5.348 3.008
N 3.500 1.337 1.504
N 1.848 4.011 1.504
N 4.011 4.522 4.511
N 6.685 6.174 4.511
CELL_PARAMETERS angstrom
5.348 0.000 0.000
0.000 5.348 0.000
2.674 2.674 6.015
! - spin magnetization (Bohr magnetons per cell) = 0.00
! - E_form (uncorrected) (meV per atom) = 1071
! - density of states at the Fermi level (states/eV per cell) = 3.36
! - V (A^3/atom) = 21.507
! - relative energy among the computed polymorphs (eV/atom) = 1.937